Material: Rb2PaCo2S6
Method: DFT, PBE
State: relaxed

abc: 7.2889 7.2889 7.6810
angles: 118.35 118.35 60.03
Closest atoms and distances in Å follow each position.
Sites, in units of the cell vectors:
Rb  0.2374  0.2374  0.2147  12 S 3.64-4.00, 1 Co 3.88
Rb  0.7626  0.7626  0.7853  12 S 3.64-4.00, 1 Co 3.88
Pa  0.0000  0.0000  0.5000  6 S 2.62
Co  0.4408  0.4408  0.8186  3 S 2.15, 1 Co 2.33
Co  0.5592  0.5592  0.1814  3 S 2.15, 1 Co 2.33
S  0.2480  0.2480  0.7360  1 Co 2.15
S  0.2504  0.7479  0.7433  1 Co 2.15
S  0.2521  0.7496  0.2567  1 Co 2.15
S  0.7479  0.2504  0.7433  1 Co 2.15
S  0.7496  0.2521  0.2567  1 Co 2.15
S  0.7520  0.7520  0.2640  1 Co 2.15

Its crystal system is monoclinic. Its formation energy from raw total energies is -9.360 eV/f.u. The total energy is -5.433 eV/atom. As for the magnetization: 6.2 μB/cell.